Material: Tc2Se
Method: DFT, PBE
State: relaxed

abc: 4.011 4.011 3.127
angles: 90.00 90.00 90.00
Atoms (fractional coordinates):
Tc1 0.000 0.500 0.500
Tc2 0.500 0.000 0.500
Se1 0.000 0.000 0.000

## Properties
The value obtained for the uncorrected formation energy is 2.3 eV/f.u. The calculation puts the energy above the most stable polymorph in this dataset at 0.860 eV/atom. As for the symmetry: P4/mmm (123).

Material: BaZrNi2
Method: DFT, PBE
State: relaxed

abc: 7.213 7.213 7.213
angles: 150.21 149.00 43.53
Atoms (fractional coordinates):
Ni1 0.963 0.963 0.000
Ni2 0.848 0.348 0.500
Zr1 0.474 0.474 0.000
Ba1 0.216 0.716 0.500

## Properties
The calculation puts the energy above the most stable polymorph in this dataset at 0.164 eV/atom. As for the symmetry: Imm2 (44). For the formation enthalpy at 0 K, the calculation gives 0.08 eV/atom.

Material: LiPtCl
Method: DFT, PBE
State: relaxed

abc: 8.092 6.820 6.820
angles: 149.22 142.07 37.93
Atoms (fractional coordinates):
Cl1 0.803 0.764 0.236
Cl2 0.197 0.236 0.764
Li1 0.191 0.033 0.967
Li2 0.809 0.967 0.033
Pt1 0.607 0.253 0.747
Pt2 0.393 0.747 0.253

## Properties
The value obtained for the uncorrected formation energy is -2.3 eV/f.u. The calculation puts the energy above the most stable polymorph in this dataset at 0.075 eV/atom. As for the symmetry: C2/m (12).

Material: Sr2Ga3Pt
Method: DFT, PBE
State: relaxed

abc: 6.341 6.341 8.812
angles: 110.50 110.50 91.54
Atoms (fractional coordinates):
Sr1 0.737 0.263 0.000
Pt1 0.334 0.334 0.668
Pt2 0.666 0.666 0.332
Sr2 0.250 0.750 0.500
Ga1 0.831 0.831 0.662
Ga2 0.165 0.165 0.829
Ga3 0.664 0.664 0.829
Sr3 0.750 0.250 0.500
Sr4 0.263 0.737 0.000
Ga4 0.336 0.336 0.171
Ga5 0.169 0.169 0.338
Ga6 0.835 0.835 0.171

## Properties
As for the symmetry: Fmmm (69). For the formation enthalpy at 0 K, the calculation gives -0.64 eV/atom.